(1)
Crystalline BaMg4Hg2 at its relaxed geometry. Source: the Alexandria database, functional PBE.

Values from the calculation:
VASP energy   -21.80 eV for the cell shown
Calculated volume   26.77 Å³/atom
Fermi-level density of states   6.19 states/eV per cell
Energy of formation   -0.28 eV/atom
ρ   5.6 g/cm³
M_tot   0.000 μB per cell
Polymorph energy (0 for the lowest one)   0.000 eV/atom
Space group   No. 136

CIF file:
```
data_BaMg4Hg2
_cell_length_a 9.022
_cell_length_b 9.022
_cell_length_c 4.604
_cell_angle_alpha 90.00
_cell_angle_beta 90.00
_cell_angle_gamma 90.00
_space_group_name_H-M_alt 'P 1'
_space_group_IT_number 1
_space_group_name_Hall 'P 1'
loop_
_atom_site_label
_atom_site_type_symbol
_atom_site_fract_x
_atom_site_fract_y
_atom_site_fract_z
Ba1 Ba 0.000 0.000 0.000
Ba2 Ba 0.500 0.500 0.500
Mg1 Mg 0.086 0.343 0.500
Mg2 Mg 0.157 0.586 0.000
Mg3 Mg 0.343 0.086 0.500
Mg4 Mg 0.414 0.843 0.000
Mg5 Mg 0.586 0.157 0.000
Mg6 Mg 0.657 0.914 0.500
Mg7 Mg 0.843 0.414 0.000
Mg8 Mg 0.914 0.657 0.500
Hg1 Hg 0.215 0.785 0.500
Hg2 Hg 0.285 0.285 0.000
Hg3 Hg 0.715 0.715 0.000
Hg4 Hg 0.785 0.215 0.500
```

=====

(2)
Crystalline Ba12MgHg6 at its relaxed geometry. Source: the Alexandria database, functional PBE.

Values from the calculation:
VASP energy   -31.15 eV for the cell shown
Calculated volume   48.64 Å³/atom
Fermi-level density of states   26.28 states/eV per cell
Energy of formation   -0.25 eV/atom
ρ   5.2 g/cm³
M_tot   0.000 μB per cell
Polymorph energy (0 for the lowest one)   0.040 eV/atom
Space group   No. 148

CIF file:
```
data_Ba12MgHg6
_cell_length_a 10.547
_cell_length_b 10.547
_cell_length_c 10.547
_cell_angle_alpha 108.82
_cell_angle_beta 108.82
_cell_angle_gamma 108.82
_space_group_name_H-M_alt 'P 1'
_space_group_IT_number 1
_space_group_name_Hall 'P 1'
loop_
_atom_site_label
_atom_site_type_symbol
_atom_site_fract_x
_atom_site_fract_y
_atom_site_fract_z
Ba1 Ba 0.061 0.355 0.123
Ba2 Ba 0.123 0.061 0.355
Ba3 Ba 0.180 0.478 0.649
Ba4 Ba 0.351 0.820 0.522
Ba5 Ba 0.355 0.123 0.061
Ba6 Ba 0.478 0.649 0.180
Ba7 Ba 0.522 0.351 0.820
Ba8 Ba 0.645 0.877 0.939
Ba9 Ba 0.649 0.180 0.478
Ba10 Ba 0.820 0.522 0.351
Ba11 Ba 0.877 0.939 0.645
Ba12 Ba 0.939 0.645 0.877
Mg1 Mg 0.500 0.500 0.500
Hg1 Hg 0.143 0.802 0.713
Hg2 Hg 0.198 0.287 0.857
Hg3 Hg 0.287 0.857 0.198
Hg4 Hg 0.713 0.143 0.802
Hg5 Hg 0.802 0.713 0.143
Hg6 Hg 0.857 0.198 0.287
```

=====

(3)
Crystalline BaMg4Hg2 at its relaxed geometry. Source: the Alexandria database, functional PBE.

Values from the calculation:
VASP energy   -10.74 eV for the cell shown
Calculated volume   27.34 Å³/atom
Fermi-level density of states   3.09 states/eV per cell
Energy of formation   -0.26 eV/atom
ρ   5.5 g/cm³
M_tot   0.000 μB per cell
Polymorph energy (0 for the lowest one)   0.022 eV/atom
Space group   No. 65

CIF file:
```
data_BaMg4Hg2
_cell_length_a 9.377
_cell_length_b 9.377
_cell_length_c 4.597
_cell_angle_alpha 90.00
_cell_angle_beta 90.00
_cell_angle_gamma 151.74
_space_group_name_H-M_alt 'P 1'
_space_group_IT_number 1
_space_group_name_Hall 'P 1'
loop_
_atom_site_label
_atom_site_type_symbol
_atom_site_fract_x
_atom_site_fract_y
_atom_site_fract_z
Ba1 Ba 0.000 0.000 0.000
Mg1 Mg 0.187 0.813 0.500
Mg2 Mg 0.312 0.688 0.000
Mg3 Mg 0.688 0.312 0.000
Mg4 Mg 0.813 0.187 0.500
Hg1 Hg 0.413 0.587 0.500
Hg2 Hg 0.587 0.413 0.500
```